Density functional theory data (PBE) for Hf2VGa after structural relaxation.

```
Hf2VGa
1.0
-3.7257 3.7257 2.7661
3.7257 -3.7257 2.7661
3.7257 3.7257 -2.7661
Hf V Ga
4 2 2
Direct
0.1241 0.6250 0.9991
0.3750 0.3741 0.4991
0.6259 0.1250 0.0009
0.8750 0.8759 0.5009
0.0000 0.0000 0.0000
0.7500 0.2500 0.5000
0.2500 0.7500 0.5000
0.5000 0.5000 0.0000
```

Properties
Space group: I-42d (122)
VASP energy, hartree per atom: -0.281
Calculated formation energy, kJ/mol of formula units: 144

=====

Density functional theory data (PBE) for TaVCd2Br after structural relaxation.

```
TaVCd2Br
1.0
5.2063 0.0000 0.0000
0.0000 5.2063 0.0000
0.0000 0.0000 4.4168
Ta V Cd Br
1 1 2 1
Direct
0.0000 0.0000 0.0000
0.5000 0.5000 0.0000
0.0000 0.5000 0.5000
0.5000 0.0000 0.5000
0.5000 0.5000 0.5000
```

Properties
Space group: P4/mmm (123)
VASP energy, hartree per atom: -0.122

=====

The highest VASP energy belongs to which entry?
TaVCd2Br